1.
{"formula": "CsP", "functional": "PBE-GGA", "state": "optimized geometry", "lattice": [[5.675, 0.000, 0.000], [0.000, 13.651, 0.000], [0.000, 0.000, 7.177]], "species": ["Cs", "Cs", "Cs", "Cs", "Cs", "Cs", "P", "P", "P", "P", "P", "P"], "fractional_positions": [[0.250, 0.049, 0.214], [0.250, 0.451, 0.214], [0.250, 0.750, 0.462], [0.750, 0.250, 0.538], [0.750, 0.549, 0.786], [0.750, 0.951, 0.786], [0.250, 0.117, 0.725], [0.250, 0.250, 0.873], [0.250, 0.383, 0.725], [0.750, 0.617, 0.275], [0.750, 0.750, 0.127], [0.750, 0.883, 0.275]], "formation_enthalpy_0k_ev_per_atom": -0.364}

2.
{"formula": "Zr6VIr5", "functional": "PBE-GGA", "state": "optimized geometry", "lattice": [[-2.316, 3.358, 6.942], [2.316, -3.358, 6.942], [2.316, 3.358, -6.942]], "species": ["Zr", "Zr", "Zr", "Zr", "Zr", "Zr", "V", "Ir", "Ir", "Ir", "Ir", "Ir"], "fractional_positions": [[0.083, 0.334, 0.749], [0.248, 0.000, 0.248], [0.414, 0.666, 0.749], [0.586, 0.334, 0.251], [0.752, 0.000, 0.752], [0.917, 0.666, 0.251], [0.000, 0.500, 0.500], [0.164, 0.164, 0.000], [0.330, 0.830, 0.500], [0.500, 0.500, 0.000], [0.670, 0.170, 0.500], [0.836, 0.836, 0.000]], "formation_enthalpy_0k_ev_per_atom": -0.680}

3.
{"formula": "Er4InAgRu2", "functional": "PBE-GGA", "state": "optimized geometry", "lattice": [[2.484, 1.434, 8.109], [-2.484, 1.434, 8.109], [0.000, -2.869, 8.109]], "species": ["Er", "Er", "Er", "Er", "In", "Ag", "Ru", "Ru"], "fractional_positions": [[0.122, 0.122, 0.122], [0.372, 0.372, 0.372], [0.628, 0.628, 0.628], [0.878, 0.878, 0.878], [0.500, 0.500, 0.500], [0.000, 0.000, 0.000], [0.249, 0.249, 0.249], [0.751, 0.751, 0.751]], "formation_enthalpy_0k_ev_per_atom": -0.367}

4.
{"formula": "RuPbCl2", "functional": "PBE-GGA", "state": "optimized geometry", "lattice": [[0.000, 3.520, 3.520], [3.520, 0.000, 3.520], [3.520, 3.520, 0.000]], "species": ["Ru", "Pb", "Cl", "Cl"], "fractional_positions": [[0.000, 0.000, 0.000], [0.750, 0.750, 0.750], [0.250, 0.250, 0.250], [0.500, 0.500, 0.500]], "e_form_raw_ev_per_fu": 1.777, "relative_energy_mev_per_atom": 643}

5.
{"formula": "LaReH2", "functional": "PBE-GGA", "state": "optimized geometry", "lattice": [[0.000, 2.982, 2.982], [2.982, 0.000, 2.982], [2.982, 2.982, 0.000]], "species": ["La", "Re", "H", "H"], "fractional_positions": [[0.000, 0.000, 0.000], [0.500, 0.500, 0.500], [0.250, 0.250, 0.250], [0.750, 0.750, 0.750]], "relative_energy_mev_per_atom": 565}

6.
{"formula": "MgTlTe2", "functional": "PBE-GGA", "state": "optimized geometry", "lattice": [[6.068, 0.000, 0.000], [0.000, 3.015, 3.481], [0.000, -3.015, 3.481]], "species": ["Mg", "Tl", "Te", "Te"], "fractional_positions": [[0.000, 0.000, 0.000], [0.500, 0.488, 0.488], [0.000, 0.411, 0.411], [0.500, 0.936, 0.936]], "e_form_raw_ev_per_fu": -1.718}

7.
{"formula": "Pm3Cd3Rh", "functional": "PBE-GGA", "state": "optimized geometry", "lattice": [[0.000, 7.206, 7.206], [7.206, 0.000, 7.206], [7.206, 7.206, 0.000]], "species": ["Pm", "Pm", "Pm", "Pm", "Pm", "Pm", "Pm", "Pm", "Pm", "Pm", "Pm", "Pm", "Cd", "Cd", "Cd", "Cd", "Cd", "Cd", "Cd", "Cd", "Cd", "Cd", "Cd", "Cd", "Rh", "Rh", "Rh", "Rh"], "fractional_positions": [[0.082, 0.082, 0.668], [0.082, 0.668, 0.082], [0.082, 0.668, 0.668], [0.332, 0.332, 0.918], [0.332, 0.918, 0.332], [0.332, 0.918, 0.918], [0.668, 0.082, 0.082], [0.668, 0.082, 0.668], [0.668, 0.668, 0.082], [0.918, 0.332, 0.332], [0.918, 0.332, 0.918], [0.918, 0.918, 0.332], [0.000, 0.500, 0.500], [0.293, 0.293, 0.293], [0.293, 0.293, 0.620], [0.293, 0.620, 0.293], [0.380, 0.707, 0.707], [0.500, 0.000, 0.500], [0.500, 0.500, 0.000], [0.500, 0.500, 0.500], [0.620, 0.293, 0.293], [0.707, 0.380, 0.707], [0.707, 0.707, 0.380], [0.707, 0.707, 0.707], [0.000, 0.000, 0.000], [0.000, 0.000, 0.500], [0.000, 0.500, 0.000], [0.500, 0.000, 0.000]], "formation_enthalpy_0k_ev_per_atom": -0.430}

8.
{"formula": "PmPr10Y6", "functional": "PBE-GGA", "state": "optimized geometry", "lattice": [[9.961, 0.000, 0.000], [-4.980, 8.626, 0.000], [0.000, 0.000, 6.996]], "species": ["Pm", "Pr", "Pr", "Pr", "Pr", "Pr", "Pr", "Pr", "Pr", "Pr", "Pr", "Y", "Y", "Y", "Y", "Y", "Y"], "fractional_positions": [[0.000, 0.000, 0.000], [0.000, 0.277, 0.679], [0.000, 0.723, 0.321], [0.277, 0.000, 0.679], [0.277, 0.277, 0.321], [0.333, 0.667, 0.000], [0.333, 0.667, 0.500], [0.667, 0.333, 0.000], [0.667, 0.333, 0.500], [0.723, 0.000, 0.321], [0.723, 0.723, 0.679], [0.000, 0.367, 0.184], [0.000, 0.633, 0.816], [0.367, 0.000, 0.184], [0.367, 0.367, 0.816], [0.633, 0.000, 0.816], [0.633, 0.633, 0.184]], "formation_enthalpy_0k_ev_per_atom": 0.131}

9.
{"formula": "Ca2Co2Mo", "functional": "PBE-GGA", "state": "optimized geometry", "lattice": [[6.256, 0.000, 0.000], [0.000, 6.256, 0.000], [0.000, 0.000, 4.813]], "species": ["Ca", "Ca", "Ca", "Ca", "Co", "Co", "Co", "Co", "Mo", "Mo"], "fractional_positions": [[0.182, 0.318, 0.000], [0.318, 0.818, 0.000], [0.682, 0.182, 0.000], [0.818, 0.682, 0.000], [0.126, 0.626, 0.500], [0.374, 0.126, 0.500], [0.626, 0.874, 0.500], [0.874, 0.374, 0.500], [0.000, 0.000, 0.500], [0.500, 0.500, 0.500]], "formation_enthalpy_0k_ev_per_atom": 0.335}

10.
{"formula": "TlNiP2", "functional": "PBE-GGA", "state": "optimized geometry", "lattice": [[-1.608, 3.088, 3.965], [1.608, -3.088, 3.965], [1.608, 3.088, -3.965]], "species": ["Tl", "Ni", "P", "P"], "fractional_positions": [[0.000, 0.000, 0.000], [0.708, 0.208, 0.500], [0.333, 0.833, 0.500], [0.521, 0.521, 0.000]], "relative_energy_mev_per_atom": 473, "formation_enthalpy_0k_ev_per_atom": 0.353}

11.
{"formula": "MgZrAgMo2", "functional": "PBE-GGA", "state": "optimized geometry", "lattice": [[4.891, 0.000, 0.000], [0.000, 4.891, 0.000], [0.000, 0.000, 5.048]], "species": ["Mg", "Zr", "Ag", "Mo", "Mo"], "fractional_positions": [[0.000, 0.000, 0.000], [0.500, 0.500, 0.000], [0.500, 0.500, 0.500], [0.000, 0.500, 0.500], [0.500, 0.000, 0.500]], "formation_enthalpy_0k_ev_per_atom": 1.759}

12.
{"formula": "As2IrSe", "functional": "PBE-GGA", "state": "optimized geometry", "lattice": [[3.108, 0.000, 0.000], [0.000, 4.626, 0.000], [0.000, 0.000, 4.784]], "species": ["As", "As", "Ir", "Se"], "fractional_positions": [[0.000, 0.000, 0.000], [0.500, 0.500, 0.000], [0.000, 0.500, 0.500], [0.500, 0.000, 0.500]], "e_form_raw_ev_per_fu": 1.889}